## BaLa2Cl8 (SCAN)

Data for a crystal of BaLa2Cl8 relaxed with PBEsol.

Structure (POSCAR):
```
BaLa2Cl8
1.0
4.315 -6.345 0.000
4.315 6.345 0.000
-1.255 0.000 5.251
Ba La Cl
1 2 8
direct
0.000 0.000 0.000
0.319 0.681 0.500
0.681 0.319 0.500
0.060 0.321 0.578
0.246 0.754 0.000
0.321 0.060 0.578
0.381 0.381 0.194
0.619 0.619 0.806
0.679 0.940 0.422
0.754 0.246 0.000
0.940 0.679 0.422
```

Output
E_form (uncorrected) = -2.724 eV/atom
Total DFT energy (no corrections) = -19.96 eV/atom
SG = C2/m


## BaLa2Cl8 (SCAN)

Data for a crystal of BaLa2Cl8 relaxed with PBEsol.

Structure (POSCAR):
```
BaLa2Cl8
1.0
-6.305 6.305 4.025
6.305 -6.305 4.025
6.305 6.305 -4.025
Ba La Cl
2 4 16
direct
0.000 0.000 0.000
0.750 0.250 0.500
0.173 0.028 0.581
0.408 0.827 0.855
0.447 0.592 0.419
0.972 0.553 0.145
0.048 0.324 0.213
0.070 0.504 0.896
0.111 0.835 0.787
0.165 0.952 0.276
0.189 0.502 0.581
0.193 0.241 0.805
0.392 0.811 0.313
0.436 0.388 0.195
0.496 0.393 0.567
0.498 0.079 0.687
0.607 0.174 0.104
0.612 0.807 0.048
0.676 0.889 0.724
0.759 0.564 0.952
0.826 0.930 0.433
0.921 0.608 0.419
```

Output
E_form (uncorrected) = -2.652 eV/atom
Total DFT energy (no corrections) = -19.89 eV/atom
SG = I-4


## Ba2LaCl (SCAN)

Data for a crystal of Ba2LaCl relaxed with PBEsol.

Structure (POSCAR):
```
Ba2LaCl
1.0
2.081 -3.370 0.000
2.081 3.370 0.000
0.000 0.000 11.366
Ba La Cl
2 1 1
direct
0.000 0.000 0.000
0.500 0.500 0.322
0.500 0.500 0.725
0.000 0.000 0.536
```

Output
E_form (uncorrected) = -0.737 eV/atom
Total DFT energy (no corrections) = -33.28 eV/atom
SG = Cmm2


What is the E_form (uncorrected) in the first record? -2.724 eV/atom


Which of these has the highest total DFT energy (no corrections)? number 2